DFT (PBE) results for YSc2TlP after structural relaxation.

a = 4.9251 Å, b = 4.9251 Å, c = 5.2254 Å
α = 90.00°, β = 90.00°, γ = 90.00°
Sites, in units of the cell vectors:
Tl: 0.5000 0.5000 0.5000
Sc: 0.5000 0.0000 0.0000
P: 0.0000 0.0000 0.0000
Y: 0.0000 0.0000 0.5000
Sc: 0.0000 0.5000 0.0000

## Properties
* E_form: -697 meV/atom
* energy: -6.078 eV/atom

DFT (PBE) results for LiPmTmSe3 after structural relaxation.

a = 3.9885 Å, b = 8.3607 Å, c = 8.7890 Å
α = 103.22°, β = 90.00°, γ = 90.00°
Sites, in units of the cell vectors:
Tm: 0.7500 0.3328 0.8374
Pm: 0.7500 0.8095 0.7732
Se: 0.2500 0.5663 0.8282
Li: 0.2500 0.0863 0.5846
Se: 0.2500 0.0962 0.8706
Se: 0.2500 0.7742 0.4987
Se: 0.7500 0.9038 0.1294
Se: 0.7500 0.4337 0.1718
Tm: 0.2500 0.6672 0.1626
Se: 0.7500 0.2258 0.5013
Li: 0.7500 0.9137 0.4154
Pm: 0.2500 0.1905 0.2268

## Properties
* formation energy from raw total energies: -1.648 eV per atom
* energy: -5.247 eV/atom

DFT (PBE) results for ErTmAlIn after structural relaxation.

a = 5.1636 Å, b = 5.1636 Å, c = 5.1636 Å
α = 60.00°, β = 60.00°, γ = 60.00°
Sites, in units of the cell vectors:
In: 0.2500 0.2500 0.2500
Er: 0.0000 0.0000 0.0000
Tm: 0.5000 0.5000 0.5000
Al: 0.7500 0.7500 0.7500

## Properties
* E_form: -392 meV/atom
* distance to the lowest polymorph of the same formula: 16 meV per atom
* energy: -4.271 eV/atom

DFT (PBE) results for Fe4Pd3Rh2 after structural relaxation.

a = 4.3830 Å, b = 4.2644 Å, c = 7.9088 Å
α = 92.74°, β = 90.07°, γ = 59.03°
Sites, in units of the cell vectors:
Fe: 0.6663 0.6674 0.8963
Pd: 0.6671 0.6659 0.5751
Rh: 0.3326 0.3348 0.7840
Pd: 0.0000 0.0000 0.0000
Rh: 0.6674 0.6652 0.2160
Pd: 0.3329 0.3341 0.4249
Fe: 0.9981 0.0039 0.3421
Fe: 0.0019 0.9961 0.6579
Fe: 0.3337 0.3326 0.1037

## Properties
* E_form: 1 meV/atom
* energy: -7.125 eV/atom

DFT (PBE) results for La2GeSe after structural relaxation.

a = 4.3928 Å, b = 4.3928 Å, c = 7.6079 Å
α = 73.22°, β = 73.22°, γ = 60.00°
Sites, in units of the cell vectors:
La: 0.7471 0.7471 0.7588
La: 0.2529 0.2529 0.2412
Ge: 0.0000 0.0000 0.0000
Se: 0.5000 0.5000 0.5000

## Properties
* formation energy from raw total energies: -1.451 eV per atom
* distance to the lowest polymorph of the same formula: 13 meV per atom
* energy: -5.940 eV/atom

DFT (PBE) results for LaFe2Cu after structural relaxation.

a = 3.1148 Å, b = 3.1158 Å, c = 7.0059 Å
α = 90.00°, β = 90.00°, γ = 90.00°
Sites, in units of the cell vectors:
Fe: 0.0000 0.0000 0.0155
Fe: 0.5000 0.5000 0.1775
La: 0.0000 0.0000 0.4910
Cu: 0.5000 0.5000 0.8160

## Properties
* E_form: 220 meV/atom
* energy: -6.267 eV/atom

DFT (PBE) results for Cs2Nb3Cl7O5 after structural relaxation.

a = 9.9810 Å, b = 9.9810 Å, c = 11.3387 Å
α = 73.01°, β = 73.01°, γ = 54.06°
Sites, in units of the cell vectors:
Nb: 0.2134 0.7901 0.5263
Nb: 0.2099 0.7866 0.9737
O: 0.3958 0.6045 0.6269
O: 0.0000 0.0000 0.0000
O: 0.0000 0.0000 0.5000
Cl: 0.0654 0.6469 0.6143
Cs: 0.8414 0.7552 0.3536
Cl: 0.0926 0.9074 0.7500
Cl: 0.2913 0.4231 0.3231
O: 0.6045 0.3958 0.1269
O: 0.2897 0.7096 0.1201
Cl: 0.5769 0.7087 0.1769
O: 0.6042 0.3955 0.3731
Cs: 0.2448 0.1586 0.1464
Cl: 0.3605 0.9315 0.4641
Cl: 0.3531 0.9346 0.8857
O: 0.7103 0.2904 0.8799
Nb: 0.5330 0.4670 0.7500
Nb: 0.4670 0.5330 0.2500
O: 0.7096 0.2897 0.6201
Cs: 0.1586 0.2448 0.6464
O: 0.3955 0.6042 0.8731
Cl: 0.0685 0.6395 0.0359
Nb: 0.7901 0.2134 0.0263
Cl: 0.6395 0.0685 0.5359
Cs: 0.7552 0.8414 0.8536
Cl: 0.9346 0.3531 0.3857
Nb: 0.7866 0.2099 0.4737
Cl: 0.6469 0.0654 0.1143
Cl: 0.9315 0.3605 0.9641
Cl: 0.9074 0.0926 0.2500
Cl: 0.7087 0.5769 0.6769
O: 0.2904 0.7103 0.3799
Cl: 0.4231 0.2913 0.8231

## Properties
* formation energy from raw total energies: -2.026 eV per atom
* energy: -6.122 eV/atom

DFT (PBE) results for PbSeIO2 after structural relaxation.

a = 4.2410 Å, b = 4.2410 Å, c = 7.0430 Å
α = 90.00°, β = 90.00°, γ = 90.00°
Sites, in units of the cell vectors:
Pb: 0.0000 0.0000 0.0000
I: 0.0000 0.0000 0.5000
Se: 0.5000 0.5000 0.5000
O: 0.5000 0.0000 0.0000
O: 0.0000 0.5000 0.0000

## Properties
* formation energy from raw total energies: 0.055 eV per atom
* distance to the lowest polymorph of the same formula: 0 meV per atom
* energy: -3.676 eV/atom

DFT (PBE) results for USeS3 after structural relaxation.

a = 4.2689 Å, b = 7.0781 Å, c = 8.7821 Å
α = 93.29°, β = 104.07°, γ = 90.00°
Sites, in units of the cell vectors:
Se: 0.4877 0.6852 0.9755
Se: 0.5123 0.3148 0.0245
S: 0.8048 0.3863 0.6097
S: 0.0567 0.2349 0.1133
U: 0.2218 0.2440 0.4435
S: 0.9433 0.7651 0.8867
U: 0.7782 0.7560 0.5565
S: 0.6750 0.0259 0.3499
S: 0.1952 0.6137 0.3903
S: 0.3250 0.9741 0.6501

## Properties
* formation energy from raw total energies: -0.717 eV per atom
* energy: -6.148 eV/atom

DFT (PBE) results for KBAs2Br after structural relaxation.

a = 4.3158 Å, b = 4.3158 Å, c = 8.8254 Å
α = 90.00°, β = 90.00°, γ = 90.00°
Sites, in units of the cell vectors:
B: 0.0000 0.0000 0.0000
As: 0.0000 0.5000 0.0000
K: 0.5000 0.5000 0.5000
As: 0.5000 0.0000 0.0000
Br: 0.0000 0.0000 0.5000

## Properties
* formation energy from raw total energies: 0.147 eV per atom
* distance to the lowest polymorph of the same formula: 0 meV per atom
* energy: -3.602 eV/atom

DFT (PBE) results for K2Ba5Ir after structural relaxation.

a = 8.8807 Å, b = 8.8807 Å, c = 9.2764 Å
α = 118.61°, β = 118.60°, γ = 90.00°
Sites, in units of the cell vectors:
K: 0.7581 0.2582 0.5163
Ba: 0.7602 0.7602 0.5203
Ba: 0.2439 0.7698 0.0137
Ba: 0.7698 0.7698 0.0137
K: 0.2582 0.7582 0.5163
Ba: 0.7698 0.2439 0.0137
Ba: 0.2439 0.2439 0.0137
Ir: 0.9731 0.9731 0.9462

## Properties
* E_form: 71 meV/atom
* energy: -2.513 eV/atom

DFT (PBE) results for TbDy2Pa3P6 after structural relaxation.

a = 6.9028 Å, b = 6.9028 Å, c = 6.8966 Å
α = 99.60°, β = 99.60°, γ = 120.01°
Sites, in units of the cell vectors:
P: 0.7507 0.7507 0.2544
Pa: 0.5000 0.5000 0.5000
Pa: 0.8335 0.1665 0.5000
P: 0.4190 0.0849 0.2546
Tb: 0.0000 0.0000 0.0000
Pa: 0.1665 0.8335 0.5000
P: 0.2493 0.2493 0.7456
P: 0.5810 0.9151 0.7454
Dy: 0.3333 0.6667 0.0000
P: 0.9151 0.5810 0.7454
Dy: 0.6667 0.3333 0.0000
P: 0.0849 0.4190 0.2546

## Properties
* E_form: -1459 meV/atom
* energy: -7.690 eV/atom